# PBE with a Hubbard U V2InAgO8, relaxed
# - D(E_F): 10.583 states/eV/f.u.
# - Magnetic moment: 1.34 μB/f.u.
# - E: -6.22 eV per atom
data_V2InAgO8
_chemical_formula_sum 'V4 In2 Ag2 O16'
_cell_length_a 6.896
_cell_length_b 6.896
_cell_length_c 6.608
_cell_angle_alpha 90.00
_cell_angle_beta 90.00
_cell_angle_gamma 90.00
_symmetry_space_group_name_H-M 'I -4 m 2'
_symmetry_Int_Tables_number 119
_symmetry_space_group_name_Hall 'I -4 -2'
loop_
_atom_site_label
_atom_site_type_symbol
_atom_site_fract_x
_atom_site_fract_y
_atom_site_fract_z
V1 V 0.000 0.000 0.000
V2 V 0.000 0.500 0.250
In1 In 0.000 0.000 0.500
Ag1 Ag 0.000 0.500 0.750
O1 O 0.000 0.191 0.825
O2 O 0.000 0.299 0.408